Here is crystalline Cr2FeF at its relaxed geometry from Alexandria. Energies are from PBE with a Hubbard U.

Structure (POSCAR):
```
Cr2FeF
1.0
3.914 -0.600 -0.077
1.676 -2.474 2.599
1.447 -3.477 -1.225
Cr Fe F
2 1 1
direct
0.250 0.250 0.250
0.750 0.750 0.750
0.500 0.500 0.500
0.000 0.000 0.000
```

theoretical density: 6759 kg/m3
total magnetization: 0.00 μB/atom
SG: Fm-3m, No. 225
energy relative to the lowest polymorph listed for this composition: 1847 meV per atom
energy: -3.29 eV per atom